(1)
Entry from Alexandria via LeMat-Bulk: a relaxed structure of La2TaSi (PBE-GGA).

a = 17.7143 Å, b = 3.5377 Å, c = 3.7409 Å
α = 90.00°, β = 102.10°, γ = 90.00°
Closest atoms and distances in Å follow each position.
Fractional positions:
La 0.1539 0.0000 0.1534  2 Si 3.20, 2 Ta 3.26, 2 La 3.54
La 0.3461 0.5000 0.8466  2 Si 3.20, 2 Ta 3.26, 2 La 3.54
La 0.6539 0.5000 0.1534  2 Si 3.20, 2 Ta 3.26, 2 La 3.54
La 0.8461 0.0000 0.8466  2 Si 3.20, 2 Ta 3.26, 2 La 3.54
Ta 0.0000 0.0000 0.5000  4 Si 2.57
Ta 0.5000 0.5000 0.5000  4 Si 2.57
Si 0.0000 0.5000 0.0000  4 Ta 2.57
Si 0.5000 0.0000 0.0000  4 Ta 2.57

Properties
As for the volume: 28.7 Å³ per atom. The total energy is -6.76 eV per atom. The calculation puts the mass density at 7.05 Mg/m³. The formation energy without anion corrections comes out at 0.024 eV/atom.

---

(2)
Entry from Alexandria via LeMat-Bulk: a relaxed structure of SrLa2Cl (PBE-GGA).

a = 12.3289 Å, b = 3.7441 Å, c = 7.3457 Å
α = 90.00°, β = 121.82°, γ = 90.00°
Closest atoms and distances in Å follow each position.
Fractional positions:
Sr 0.0000 0.0000 0.0000  2 Cl 3.01
Sr 0.5000 0.5000 0.0000  2 Cl 3.01
La 0.1701 0.0000 0.5968  2 Cl 2.99
La 0.3979 0.0000 0.4384  1 Cl 3.16, 2 La 3.46
La 0.6701 0.5000 0.5968  2 Cl 2.99
La 0.8979 0.5000 0.4384  1 Cl 3.16, 2 La 3.46
Cl 0.1515 0.5000 0.8959  3 La 2.99-3.16, 2 Sr 3.01
Cl 0.6515 0.0000 0.8959  3 La 2.99-3.16, 2 Sr 3.01

Properties
As for the volume: 36.0 Å³ per atom. The total energy is -3.92 eV per atom. The calculation puts the mass density at 4.62 Mg/m³. As for the excess energy over the best structure of this formula in the dataset: 102 meV/atom. The formation energy without anion corrections comes out at -0.576 eV/atom.

---

(3)
Entry from Alexandria via LeMat-Bulk: a relaxed structure of Bi2SCl2 (PBE-GGA).

a = 7.4904 Å, b = 7.4904 Å, c = 5.4356 Å
α = 90.00°, β = 90.00°, γ = 90.00°
Closest atoms and distances in Å follow each position.
Fractional positions:
Bi 0.1564 0.3436 0.0000  2 Cl 2.72, 2 S 2.83
Bi 0.3436 0.8436 0.0000  2 Cl 2.72, 2 S 2.83
Bi 0.6564 0.1564 0.0000  2 Cl 2.72, 2 S 2.83
Bi 0.8436 0.6564 0.0000  2 Cl 2.72, 2 S 2.83
S 0.0000 0.0000 0.0000  4 Bi 2.83
S 0.5000 0.5000 0.0000  4 Bi 2.83
Cl 0.1743 0.3257 0.5000  2 Bi 2.72
Cl 0.3257 0.8257 0.5000  2 Bi 2.72
Cl 0.6743 0.1743 0.5000  2 Bi 2.72
Cl 0.8257 0.6743 0.5000  2 Bi 2.72

Properties
As for the volume: 30.5 Å³ per atom. The total energy is -3.52 eV per atom. The calculation puts the mass density at 5.67 Mg/m³. As for the excess energy over the best structure of this formula in the dataset: 0 meV/atom. The formation energy without anion corrections comes out at -0.408 eV/atom.

---

(4)
Entry from Alexandria via LeMat-Bulk: a relaxed structure of Co2HgPt (PBE-GGA).

a = 2.7551 Å, b = 3.7189 Å, c = 5.8304 Å
α = 90.00°, β = 90.00°, γ = 90.00°
Closest atoms and distances in Å follow each position.
Fractional positions:
Co 0.0000 0.0000 0.2131  3 Co 2.48-2.76, 4 Pt 2.63
Co 0.0000 0.0000 0.7869  3 Co 2.48-2.76, 4 Pt 2.63
Hg 0.5000 0.5000 0.5000  2 Hg 2.76, 8 Co 2.86, 2 Pt 2.92
Pt 0.5000 0.5000 0.0000  8 Co 2.63, 2 Pt 2.76, 2 Hg 2.92

Properties
As for the volume: 14.9 Å³ per atom. The energy of formation from the pure elements comes out at 0.227 eV/atom. The total energy is -4.91 eV per atom. The calculation puts the mass density at 14.28 Mg/m³.

---

(5)
Entry from Alexandria via LeMat-Bulk: a relaxed structure of Li2ThMg3 (PBE-GGA).

a = 3.3861 Å, b = 3.3861 Å, c = 11.9569 Å
α = 90.00°, β = 90.00°, γ = 90.00°
Closest atoms and distances in Å follow each position.
Fractional positions:
Li 0.0000 0.0000 0.1489  8 Mg 2.95-2.98
Li 0.0000 0.0000 0.8511  8 Mg 2.95-2.98
Th 0.0000 0.0000 0.5000  4 Th 3.39, 8 Mg 3.45
Mg 0.5000 0.5000 0.0000  8 Li 2.98
Mg 0.5000 0.5000 0.2925  4 Li 2.95
Mg 0.5000 0.5000 0.7075  4 Li 2.95

Properties
As for the volume: 22.8 Å³ per atom. The energy of formation from the pure elements comes out at -0.016 eV/atom. The total energy is -2.69 eV per atom. The calculation puts the mass density at 3.86 Mg/m³.

---

(6)
Entry from Alexandria via LeMat-Bulk: a relaxed structure of Sm2Pd4Pb (PBE-GGA).

a = 5.0278 Å, b = 5.0278 Å, c = 14.6364 Å
α = 90.00°, β = 90.00°, γ = 90.00°
Closest atoms and distances in Å follow each position.
Fractional positions:
Sm 0.0000 0.0000 0.1321  1 Pd 2.65
Sm 0.0000 0.0000 0.8679  1 Pd 2.65
Sm 0.5000 0.5000 0.3679  1 Pd 2.65
Sm 0.5000 0.5000 0.6321  1 Pd 2.65
Pd 0.0000 0.0000 0.3129  1 Sm 2.65, 1 Pb 2.74
Pd 0.0000 0.0000 0.6871  1 Sm 2.65, 1 Pb 2.74
Pd 0.0000 0.5000 0.0000  2 Pb 2.51
Pd 0.0000 0.5000 0.5000  2 Pb 2.51
Pd 0.5000 0.0000 0.0000  2 Pb 2.51
Pd 0.5000 0.0000 0.5000  2 Pb 2.51
Pd 0.5000 0.5000 0.1871  1 Sm 2.65, 1 Pb 2.74
Pd 0.5000 0.5000 0.8129  1 Sm 2.65, 1 Pb 2.74
Pb 0.0000 0.0000 0.5000  6 Pd 2.51-2.74
Pb 0.5000 0.5000 0.0000  6 Pd 2.51-2.74

Properties
As for the volume: 26.4 Å³ per atom. The energy of formation from the pure elements comes out at -0.098 eV/atom. The total energy is -4.94 eV per atom. The calculation puts the mass density at 8.38 Mg/m³.

---

(7)
Entry from Alexandria via LeMat-Bulk: a relaxed structure of Ga4Pd5Pt2 (PBE-GGA).

a = 11.0413 Å, b = 11.0413 Å, c = 11.0413 Å
α = 165.45°, β = 145.16°, γ = 37.94°
Closest atoms and distances in Å follow each position.
Fractional positions:
Ga 0.1585 0.1585 0.0000  1 Pt 2.42, 4 Pd 2.54
Ga 0.1829 0.5000 0.6829  1 Ga 2.42, 4 Pd 2.48-2.52
Ga 0.8171 0.5000 0.3171  1 Ga 2.42, 4 Pd 2.48-2.52
Ga 0.8415 0.8415 0.0000  1 Pt 2.42, 4 Pd 2.54
Pd 0.1749 0.3859 0.7890  3 Ga 2.48-2.54, 1 Pt 2.71
Pd 0.4031 0.6141 0.7890  3 Ga 2.48-2.54, 1 Pt 2.71
Pd 0.5000 0.0000 0.5000  4 Ga 2.52, 2 Pd 2.80
Pd 0.5969 0.3859 0.2110  3 Ga 2.48-2.54, 1 Pt 2.71
Pd 0.8251 0.6141 0.2110  3 Ga 2.48-2.54, 1 Pt 2.71
Pt 0.2745 0.2745 0.0000  1 Ga 2.42, 2 Pd 2.71
Pt 0.7255 0.7255 0.0000  1 Ga 2.42, 2 Pd 2.71

Properties
As for the volume: 17.5 Å³ per atom. The energy of formation from the pure elements comes out at -0.115 eV/atom. The total energy is -4.67 eV per atom. The calculation puts the mass density at 10.33 Mg/m³.

---

(8)
Entry from Alexandria via LeMat-Bulk: a relaxed structure of Tb6Sn2C (PBE-GGA).

a = 6.9269 Å, b = 6.9269 Å, c = 6.9269 Å
α = 60.00°, β = 60.00°, γ = 60.00°
Closest atoms and distances in Å follow each position.
Fractional positions:
Tb 0.2458 0.2458 0.7542  1 C 2.41
Tb 0.2458 0.7542 0.2458  1 C 2.41
Tb 0.2458 0.7542 0.7542  1 C 2.41
Tb 0.7542 0.2458 0.2458  1 C 2.41
Tb 0.7542 0.2458 0.7542  1 C 2.41
Tb 0.7542 0.7542 0.2458  1 C 2.41
Sn 0.2500 0.2500 0.2500  12 Tb 3.46
Sn 0.7500 0.7500 0.7500  12 Tb 3.46
C 0.0000 0.0000 0.0000  6 Tb 2.41

Properties
As for the volume: 26.1 Å³ per atom. The energy of formation from the pure elements comes out at -0.506 eV/atom. The total energy is -5.51 eV per atom. The calculation puts the mass density at 8.50 Mg/m³. As for the excess energy over the best structure of this formula in the dataset: 0 meV/atom.

---

(9)
Entry from Alexandria via LeMat-Bulk: a relaxed structure of Pr2H3Au (PBE-GGA).

a = 7.8047 Å, b = 7.8047 Å, c = 7.3951 Å
α = 112.27°, β = 112.27°, γ = 28.82°
Closest atoms and distances in Å follow each position.
Fractional positions:
Pr 0.0316 0.0316 0.2687  5 H 2.23-2.45
Pr 0.2965 0.2965 0.3069  6 H 2.24-2.46
Pr 0.7035 0.7035 0.6931  6 H 2.24-2.46
Pr 0.9684 0.9684 0.7313  5 H 2.23-2.45
H 0.0962 0.0962 0.6287  3 H 2.17-2.38, 1 Pr 2.34
H 0.1966 0.1966 0.4846  1 H 2.17, 2 Pr 2.36-2.38
H 0.4349 0.4349 0.5717  3 Pr 2.23-2.24, 2 H 2.38
H 0.5651 0.5651 0.4283  3 Pr 2.23-2.24, 2 H 2.38
H 0.8034 0.8034 0.5154  1 H 2.17, 2 Pr 2.36-2.38
H 0.9038 0.9038 0.3713  3 H 2.17-2.38, 1 Pr 2.34
Au 0.3766 0.3766 0.9550  7 Pr 3.20-3.27, 7 H 3.28-3.57, 1 Au 3.52
Au 0.6234 0.6234 0.0450  7 Pr 3.20-3.27, 7 H 3.28-3.57, 1 Au 3.52

Properties
As for the volume: 16.7 Å³ per atom. The total energy is -4.39 eV per atom. The calculation puts the mass density at 8.01 Mg/m³.

---

(10)
Entry from Alexandria via LeMat-Bulk: a relaxed structure of La2LuAl (PBE-GGA).

a = 3.8403 Å, b = 3.8403 Å, c = 8.3156 Å
α = 90.00°, β = 90.00°, γ = 90.00°
Closest atoms and distances in Å follow each position.
Fractional positions:
La 0.0000 0.0000 0.2182  4 Al 3.27, 4 Lu 3.59, 1 La 3.63
La 0.0000 0.0000 0.7818  4 Al 3.27, 4 Lu 3.59, 1 La 3.63
Lu 0.5000 0.5000 0.5000  8 La 3.59, 4 Lu 3.84
Al 0.5000 0.5000 0.0000  8 La 3.27

Properties
As for the volume: 30.7 Å³ per atom. The energy of formation from the pure elements comes out at -0.115 eV/atom. The total energy is -4.64 eV per atom. The calculation puts the mass density at 6.50 Mg/m³. As for the excess energy over the best structure of this formula in the dataset: 42 meV/atom.

---

(11)
Entry from Alexandria via LeMat-Bulk: a relaxed structure of FeAu (PBE-GGA).

a = 2.8240 Å, b = 2.8240 Å, c = 4.4527 Å
α = 90.00°, β = 90.00°, γ = 120.00°
Closest atoms and distances in Å follow each position.
Fractional positions:
Fe 0.0000 0.0000 0.0000  6 Au 2.76, 6 Fe 2.82
Au 0.6667 0.3333 0.5000  6 Fe 2.76, 6 Au 2.82

Properties
As for the volume: 15.4 Å³ per atom. The energy of formation from the pure elements comes out at 0.260 eV/atom. The total energy is -5.61 eV per atom. The calculation puts the mass density at 13.65 Mg/m³.